[1]
First-principles (PBE-GGA) data for a geometry-optimized Y2TaAg structure, as listed in the Alexandria database.

The space group is Cm (No. 8) and the conventional cell measures 11.480, 3.251 and 5.480 Å, with angles of 90.00, 110.20 and 90.00 degrees. The distinct sites, in fractional coordinates, are Y at (0.000, 0.000, 0.000), Y at (0.203, 0.000, 0.626), Ta at (0.446, 0.000, 0.474) and Ag at (0.247, 0.500, 0.139).

The formation energy is 163 meV per atom.



[2]
First-principles (PBE-GGA) data for a geometry-optimized Y2TaAg structure, as listed in the Alexandria database.

The space group is P4mm (No. 99) and the conventional cell measures 3.254, 3.254 and 9.117 Å, with angles of 90.00, 90.00 and 90.00 degrees. The distinct sites, in fractional coordinates, are Y at (0.000, 0.000, 0.000), Y at (0.500, 0.500, 0.327), Ta at (0.500, 0.500, 0.765) and Ag at (0.000, 0.000, 0.569).

The formation energy is 214 meV per atom.



[3]
First-principles (PBE-GGA) data for a geometry-optimized YTaAg2 structure, as listed in the Alexandria database.

The space group is Fm-3m (No. 225) and the conventional cell measures 6.938, 6.938 and 6.938 Å, with angles of 90.00, 90.00 and 90.00 degrees. The distinct sites, in fractional coordinates, are Y at (0.000, 0.000, 0.000), Ta at (0.000, 0.000, 0.500) and Ag at (0.250, 0.250, 0.250).

The formation energy is 300 meV per atom.



| no. | raw total energy (eV/atom) | polymorph energy (0 for the lowest one) (eV/atom) |
| --- | --- | --- |
| 1 | -6.745 | 0.086 |
| 2 | -6.694 | 0.137 |
| 3 | -5.705 | 0.151 |